A geometry-optimized DyNi4Ir structure. Source: Alexandria, functional PBE.

Unit cell a=6.8657 b=3.9801 c=6.5831 alpha=90.00 beta=90.00 gamma=90.00
Last column: nearest neighbours and their distance in Å.
Atoms (fractional coordinates):
Dy 0.2500 0.0000 0.1591  1 Ir 2.71, 8 Ni 2.83-2.97
Dy 0.7500 0.0000 0.8409  1 Ir 2.71, 8 Ni 2.83-2.97
Ni 0.0000 0.0000 0.5000  2 Ir 2.37, 4 Ni 2.63
Ni 0.0582 0.5000 0.8203  2 Ir 2.43, 3 Ni 2.50-2.63
Ni 0.2500 0.5000 0.4948  6 Ni 2.52-2.63, 2 Ir 2.59
Ni 0.4418 0.5000 0.8203  2 Ir 2.43, 3 Ni 2.50-2.63
Ni 0.5000 0.0000 0.5000  2 Ir 2.37, 4 Ni 2.63
Ni 0.5582 0.5000 0.1797  2 Ir 2.43, 3 Ni 2.50-2.63
Ni 0.7500 0.5000 0.5052  6 Ni 2.52-2.63, 2 Ir 2.59
Ni 0.9418 0.5000 0.1797  2 Ir 2.43, 3 Ni 2.50-2.63
Ir 0.2500 0.0000 0.7476  8 Ni 2.37-2.59
Ir 0.7500 0.0000 0.2524  8 Ni 2.37-2.59

- E above lowest polymorph: 0.173 eV/atom
- DFT formation energy: -69 meV per atom
- Space group: Pmma (51)